KTc2Pd | Alexandria via LeMat-Bulk | PBE-GGA | optimized geometry; E = -43.6 eV per cell; calculated formation energy = 1.30 eV per atom; crystal system = tetragonal
1.0
-2.2730 2.2730 9.6125
2.2730 -2.2730 9.6125
2.2730 2.2730 -9.6125
K Tc Pd
2 4 2
Direct
0.0000 0.0000 0.0000
0.7500 0.2500 0.5000
0.3285 0.1250 0.7035
0.3750 0.6715 0.7965
0.4215 0.6250 0.2965
0.8750 0.5785 0.2035
0.2500 0.7500 0.5000
0.5000 0.5000 0.0000